Compound: Ca2Tc2O7
Source: Alexandria via LeMat-Bulk
Functional: PBE
Structure: relaxed

Cell lengths 4.9814, 4.9814, 5.2970 Å; angles 90.00, 90.00, 95.70 degrees
Closest atoms and distances in Å follow each position.
Fractional coordinates of all 11 atoms:
Ca1 0.2452 0.2452 0.0000  6 O 2.28-2.34
Ca2 0.7548 0.7548 0.0000  6 O 2.28-2.34
Tc1 0.2788 0.7212 0.5000  7 O 1.99-2.07
Tc2 0.7212 0.2788 0.5000  7 O 1.99-2.07
O1 0.0000 0.0000 0.5000  2 Tc 2.06
O2 0.0000 0.5000 0.2720  2 Tc 2.07
O3 0.0000 0.5000 0.7280  2 Tc 2.07
O4 0.5000 0.0000 0.2720  2 Tc 2.07
O5 0.5000 0.0000 0.7280  2 Tc 2.07
O6 0.5000 0.5000 0.2852  2 Tc 1.99
O7 0.5000 0.5000 0.7148  2 Tc 1.99

Computed properties:
D(E_F) = 3.37 states/eV/cell
SG = Cmmm (65)
formation energy (no corrections) = -1.793 eV per atom

Compound: CaTcO3
Source: Alexandria via LeMat-Bulk
Functional: PBE
Structure: relaxed

Cell lengths 5.6241, 7.7913, 5.4240 Å; angles 90.00, 90.00, 90.00 degrees
Closest atoms and distances in Å follow each position.
Fractional coordinates of all 20 atoms:
Ca1 0.0547 0.2500 0.0134  6 O 2.33-2.60
Ca2 0.4453 0.7500 0.5134  6 O 2.33-2.60
Ca3 0.5547 0.2500 0.4866  6 O 2.33-2.60
Ca4 0.9453 0.7500 0.9866  6 O 2.33-2.60
Tc1 0.0000 0.0000 0.5000  6 O 2.02-2.03
Tc2 0.0000 0.5000 0.5000  6 O 2.02-2.03
Tc3 0.5000 0.0000 0.0000  6 O 2.02-2.03
Tc4 0.5000 0.5000 0.0000  6 O 2.02-2.03
O1 0.0309 0.7500 0.4069  2 Tc 2.02
O2 0.2037 0.5481 0.8004  2 Tc 2.02-2.03
O3 0.2037 0.9519 0.8004  2 Tc 2.02-2.03
O4 0.2963 0.0481 0.3004  2 Tc 2.02-2.03
O5 0.2963 0.4519 0.3004  2 Tc 2.02-2.03
O6 0.4691 0.2500 0.9069  2 Tc 2.02
O7 0.5309 0.7500 0.0931  2 Tc 2.02
O8 0.7037 0.5481 0.6996  2 Tc 2.02-2.03
O9 0.7037 0.9519 0.6996  2 Tc 2.02-2.03
O10 0.7963 0.0481 0.1996  2 Tc 2.02-2.03
O11 0.7963 0.4519 0.1996  2 Tc 2.02-2.03
O12 0.9691 0.2500 0.5931  2 Tc 2.02

Computed properties:
D(E_F) = 9.90 states/eV/cell
SG = Pnma (62)
formation energy (no corrections) = -2.054 eV per atom

Compound: Ca2TcO4
Source: Alexandria via LeMat-Bulk
Functional: PBE
Structure: relaxed

Cell lengths 5.5142, 5.6749, 11.8872 Å; angles 90.00, 90.00, 90.00 degrees
Closest atoms and distances in Å follow each position.
Fractional coordinates of all 28 atoms:
Ca1 0.0091 0.0583 0.1505  5 O 2.29-2.54
Ca2 0.0091 0.4417 0.6505  5 O 2.29-2.54
Ca3 0.4909 0.5583 0.1505  5 O 2.29-2.54
Ca4 0.4909 0.9417 0.6505  5 O 2.29-2.54
Ca5 0.5091 0.0583 0.3495  5 O 2.29-2.54
Ca6 0.5091 0.4417 0.8495  5 O 2.29-2.54
Ca7 0.9909 0.5583 0.3495  5 O 2.29-2.54
Ca8 0.9909 0.9417 0.8495  5 O 2.29-2.54
Tc1 0.0000 0.0000 0.5000  6 O 2.03-2.05
Tc2 0.0000 0.5000 0.0000  6 O 2.03-2.05
Tc3 0.5000 0.0000 0.0000  6 O 2.03-2.05
Tc4 0.5000 0.5000 0.5000  6 O 2.03-2.05
O1 0.0792 0.0282 0.6663  1 Tc 2.03
O2 0.0792 0.4718 0.1663  1 Tc 2.03
O3 0.1983 0.2013 0.9685  2 Tc 2.05
O4 0.1983 0.2987 0.4685  2 Tc 2.05
O5 0.3017 0.7013 0.9685  2 Tc 2.05
O6 0.3017 0.7987 0.4685  2 Tc 2.05
O7 0.4208 0.5282 0.6663  1 Tc 2.03
O8 0.4208 0.9718 0.1663  1 Tc 2.03
O9 0.5792 0.0282 0.8337  1 Tc 2.03
O10 0.5792 0.4718 0.3337  1 Tc 2.03
O11 0.6983 0.2013 0.5315  2 Tc 2.05
O12 0.6983 0.2987 0.0315  2 Tc 2.05
O13 0.8017 0.7013 0.5315  2 Tc 2.05
O14 0.8017 0.7987 0.0315  2 Tc 2.05
O15 0.9208 0.5282 0.8337  1 Tc 2.03
O16 0.9208 0.9718 0.3337  1 Tc 2.03

Computed properties:
distance to the lowest polymorph of the same formula = 0 meV per atom
D(E_F) = 9.00 states/eV/cell
SG = Pbca (61)
formation energy (no corrections) = -2.305 eV per atom

Compound: Ca2TcO
Source: Alexandria via LeMat-Bulk
Functional: PBE
Structure: relaxed

Cell lengths 6.2481, 6.2481, 6.2481 Å; angles 113.68, 113.68, 101.35 degrees
Closest atoms and distances in Å follow each position.
Fractional coordinates of all 8 atoms:
Ca1 0.0219 0.6250 0.8969  2 O 2.22
Ca2 0.3750 0.2719 0.3969  2 O 2.22
Ca3 0.7281 0.1250 0.1031  2 O 2.22
Ca4 0.8750 0.9781 0.6031  2 O 2.22
Tc1 0.2500 0.7500 0.5000  4 Ca 3.12
Tc2 0.5000 0.5000 0.0000  4 Ca 3.12
O1 0.0000 0.0000 0.0000  4 Ca 2.22
O2 0.7500 0.2500 0.5000  4 Ca 2.22

Computed properties:
D(E_F) = 2.55 states/eV/cell
SG = I-42d (122)
formation energy (no corrections) = -0.496 eV per atom

Compound: CaTcO3
Source: Alexandria via LeMat-Bulk
Functional: PBE
Structure: relaxed

Cell lengths 6.8347, 6.8347, 6.8347 Å; angles 127.43, 63.92, 146.29 degrees
Closest atoms and distances in Å follow each position.
Fractional coordinates of all 10 atoms:
Ca1 0.1885 0.0000 0.1885  8 O 2.39-2.64
Ca2 0.8115 0.0000 0.8115  8 O 2.39-2.64
Tc1 0.4353 0.1202 0.6849  3 O 1.83-1.88
Tc2 0.4353 0.7504 0.3151  3 O 1.83-1.88
O1 0.3654 0.2773 0.6018  1 Tc 1.88
O2 0.3654 0.7636 0.0881  1 Tc 1.88
O3 0.6755 0.2773 0.9119  1 Tc 1.88
O4 0.6755 0.7636 0.3982  1 Tc 1.88
O5 0.9853 0.2308 0.2455  1 Tc 1.83
O6 0.9853 0.7397 0.7545  1 Tc 1.83

Computed properties:
SG = Imm2 (44)
formation energy (no corrections) = -2.038 eV per atom

Compound: CaTc2TeO8
Source: Alexandria via LeMat-Bulk
Functional: PBE
Structure: relaxed

Cell lengths 4.8998, 6.4087, 4.9102 Å; angles 90.00, 92.03, 90.00 degrees
Closest atoms and distances in Å follow each position.
Fractional coordinates of all 12 atoms:
Ca1 0.0000 0.0000 0.0000  6 O 2.24-2.39
Tc1 0.5000 0.2536 0.5000  6 O 1.94-2.08
Tc2 0.5000 0.7464 0.5000  6 O 1.94-2.08
Te1 0.0000 0.5000 0.0000  6 O 2.11-2.18
O1 0.2176 0.2642 0.2135  1 Tc 1.94, 1 Te 2.11
O2 0.2176 0.7358 0.2135  1 Tc 1.94, 1 Te 2.11
O3 0.3065 0.5000 0.6894  2 Tc 2.08, 1 Te 2.18
O4 0.3372 0.0000 0.6598  2 Tc 1.98
O5 0.6628 0.0000 0.3402  2 Tc 1.98
O6 0.6935 0.5000 0.3106  2 Tc 2.08, 1 Te 2.18
O7 0.7824 0.2642 0.7865  1 Tc 1.94, 1 Te 2.11
O8 0.7824 0.7358 0.7865  1 Tc 1.94, 1 Te 2.11

Computed properties:
D(E_F) = 4.28 states/eV/cell
SG = P2/m (10)
formation energy (no corrections) = -1.443 eV per atom